Below is a relaxed LaSmAgSn crystal, with properties calculated at the GGA-PBE level.

Lattice parameters (Å, degrees): 7.678 7.678 7.678 90.00 90.00 90.00
Fractional positions:
La (0.000, 0.000, 0.000)
La (0.000, 0.500, 0.500)
La (0.500, 0.000, 0.500)
La (0.500, 0.500, 0.000)
Sm (0.000, 0.000, 0.500)
Sm (0.000, 0.500, 0.000)
Sm (0.500, 0.000, 0.000)
Sm (0.500, 0.500, 0.500)
Ag (0.250, 0.250, 0.750)
Ag (0.250, 0.750, 0.250)
Ag (0.750, 0.250, 0.250)
Ag (0.750, 0.750, 0.750)
Sn (0.250, 0.250, 0.250)
Sn (0.250, 0.750, 0.750)
Sn (0.750, 0.250, 0.750)
Sn (0.750, 0.750, 0.250)

## Properties
* calculated density: 7.57 g/cm³
* electronic total energy: -4.655 eV/atom
* spin magnetization: 1.85 μB per cell

Below is a relaxed LaSm2Ag2Sn2 crystal, with properties calculated at the GGA-PBE level.

Lattice parameters (Å, degrees): 9.430 9.430 9.430 30.23 30.23 30.23
Fractional positions:
La (0.000, 0.000, 0.000)
Sm (0.135, 0.135, 0.135)
Sm (0.865, 0.865, 0.865)
Ag (0.434, 0.434, 0.434)
Ag (0.566, 0.566, 0.566)
Sn (0.263, 0.263, 0.263)
Sn (0.737, 0.737, 0.737)

## Properties
* calculated density: 7.87 g/cm³
* electronic total energy: -4.473 eV/atom
* spin magnetization: 0.00 μB per cell

Below is a relaxed La2TbSm2Ag5 crystal, with properties calculated at the GGA-PBE level.

Lattice parameters (Å, degrees): 11.150 11.150 4.264 90.00 90.00 90.00
Fractional positions:
La (0.173, 0.327, 0.000)
La (0.327, 0.827, 0.000)
La (0.673, 0.173, 0.000)
La (0.827, 0.673, 0.000)
Tb (0.000, 0.000, 0.000)
Tb (0.500, 0.500, 0.000)
Sm (0.129, 0.629, 0.000)
Sm (0.371, 0.129, 0.000)
Sm (0.629, 0.871, 0.000)
Sm (0.871, 0.371, 0.000)
Ag (0.000, 0.500, 0.500)
Ag (0.058, 0.813, 0.500)
Ag (0.187, 0.058, 0.500)
Ag (0.313, 0.558, 0.500)
Ag (0.442, 0.313, 0.500)
Ag (0.500, 0.000, 0.500)
Ag (0.558, 0.687, 0.500)
Ag (0.687, 0.442, 0.500)
Ag (0.813, 0.942, 0.500)
Ag (0.942, 0.187, 0.500)

## Properties
* calculated density: 8.00 g/cm³
* electronic total energy: -3.950 eV/atom
* spin magnetization: 0.00 μB per cell

Below is a relaxed LaSmTcAg crystal, with properties calculated at the GGA-PBE level.

Lattice parameters (Å, degrees): 7.270 7.270 7.270 90.00 90.00 90.00
Fractional positions:
La (0.000, 0.000, 0.000)
La (0.000, 0.500, 0.500)
La (0.500, 0.000, 0.500)
La (0.500, 0.500, 0.000)
Sm (0.000, 0.000, 0.500)
Sm (0.000, 0.500, 0.000)
Sm (0.500, 0.000, 0.000)
Sm (0.500, 0.500, 0.500)
Tc (0.250, 0.250, 0.750)
Tc (0.250, 0.750, 0.250)
Tc (0.750, 0.250, 0.250)
Tc (0.750, 0.750, 0.750)
Ag (0.250, 0.250, 0.250)
Ag (0.250, 0.750, 0.750)
Ag (0.750, 0.250, 0.750)
Ag (0.750, 0.750, 0.250)

## Properties
* calculated density: 8.56 g/cm³
* electronic total energy: -5.714 eV/atom
* spin magnetization: 0.00 μB per cell

Below is a relaxed La2SmAgTe5 crystal, with properties calculated at the GGA-PBE level.

Lattice parameters (Å, degrees): 9.840 9.840 13.417 90.00 90.00 153.73
Fractional positions:
La (0.111, 0.889, 0.500)
La (0.123, 0.877, 0.122)
La (0.877, 0.123, 0.622)
La (0.889, 0.111, 0.000)
Sm (0.193, 0.807, 0.823)
Sm (0.807, 0.193, 0.323)
Ag (0.433, 0.567, 0.272)
Ag (0.567, 0.433, 0.772)
Te (0.042, 0.958, 0.887)
Te (0.288, 0.712, 0.485)
Te (0.307, 0.693, 0.155)
Te (0.359, 0.641, 0.814)
Te (0.499, 0.501, 0.590)
Te (0.501, 0.499, 0.090)
Te (0.641, 0.359, 0.314)
Te (0.693, 0.307, 0.655)
Te (0.712, 0.288, 0.985)
Te (0.958, 0.042, 0.387)

## Properties
* formation energy from raw total energies: -1.294 eV per atom
* calculated density: 6.78 g/cm³
* electronic total energy: -4.976 eV/atom
* spin magnetization: 0.00 μB per cell

Below is a relaxed La2SmTl2Ag2 crystal, with properties calculated at the GGA-PBE level.

Lattice parameters (Å, degrees): 9.682 9.682 9.682 29.71 29.71 29.71
Fractional positions:
La (0.126, 0.126, 0.126)
La (0.874, 0.874, 0.874)
Sm (0.000, 0.000, 0.000)
Tl (0.264, 0.264, 0.264)
Tl (0.736, 0.736, 0.736)
Ag (0.391, 0.391, 0.391)
Ag (0.609, 0.609, 0.609)

## Properties
* calculated density: 8.85 g/cm³
* electronic total energy: -3.805 eV/atom
* spin magnetization: 0.00 μB per cell

Below is a relaxed LaSm2Tl2Ag2 crystal, with properties calculated at the GGA-PBE level.

Lattice parameters (Å, degrees): 9.619 9.619 9.619 29.95 29.95 29.95
Fractional positions:
La (0.000, 0.000, 0.000)
Sm (0.126, 0.126, 0.126)
Sm (0.874, 0.874, 0.874)
Tl (0.258, 0.258, 0.258)
Tl (0.742, 0.742, 0.742)
Ag (0.405, 0.405, 0.405)
Ag (0.595, 0.595, 0.595)

## Properties
* calculated density: 8.99 g/cm³
* electronic total energy: -3.770 eV/atom
* spin magnetization: 0.00 μB per cell

Below is a relaxed LaSmTlAg crystal, with properties calculated at the GGA-PBE level.

Lattice parameters (Å, degrees): 3.767 3.767 8.031 90.00 90.00 90.00
Fractional positions:
La (0.000, 0.000, 0.000)
Sm (0.000, 0.000, 0.527)
Tl (0.500, 0.500, 0.272)
Ag (0.500, 0.500, 0.742)

## Properties
* relative energy among the computed polymorphs: 0 meV/atom
* calculated density: 8.77 g/cm³
* electronic total energy: -4.048 eV/atom
* spin magnetization: 0.38 μB per cell